Entry 1:
A plane-wave DFT calculation with PBE was carried out for crystalline TbYBeNi at its relaxed geometry.

Calculated values
Total magnetic moment ... 0.00 μB per cell
E_tot ... -84.38 eV for the cell shown
ΔE_f ... -123.2 meV per atom

a = 6.8150 Å, b = 6.8150 Å, c = 6.8150 Å
α = 90.00°, β = 90.00°, γ = 90.00°
With the nearest neighbours (Å) after each atom.
Space group F-43m (No. 216)
Unique sites:
Tb (0.0000, 0.0000, 0.0000)  4 Be 2.95, 4 Ni 2.95
Y (0.0000, 0.0000, 0.5000)  4 Ni 2.95, 4 Be 2.95
Be (0.2500, 0.2500, 0.7500)  4 Tb 2.95, 4 Y 2.95
Ni (0.2500, 0.2500, 0.2500)  4 Tb 2.95, 4 Y 2.95

Entry 2:
A plane-wave DFT calculation with PBE was carried out for crystalline Sr2ReAs at its relaxed geometry.

Calculated values
Total magnetic moment ... 3.56 μB per cell
E_tot ... -53.39 eV for the cell shown
ΔE_f ... 666.6 meV per atom

a = 3.5026 Å, b = 3.5026 Å, c = 29.2544 Å
α = 90.00°, β = 90.00°, γ = 120.00°
With the nearest neighbours (Å) after each atom.
Space group R-3m (No. 166, hexagonal axes)
Unique sites:
Sr (0.0000, 0.0000, 0.2502)  3 As 3.16, 3 Re 3.17, 6 Sr 3.50
Re (0.0000, 0.0000, 0.5000)  6 Sr 3.17, 6 Re 3.50
As (0.0000, 0.0000, 0.0000)  6 Sr 3.16, 6 As 3.50

Entry 3:
A plane-wave DFT calculation with PBE was carried out for crystalline SrSi2Ni at its relaxed geometry.

Calculated values
Total magnetic moment ... 0.00 μB per cell
Energy relative to the elements, uncorrected ... 1.50 eV per formula unit
E_tot ... -33.62 eV for the cell shown

a = 5.5300 Å, b = 9.2038 Å, c = 2.8595 Å
α = 90.00°, β = 90.00°, γ = 90.00°
With the nearest neighbours (Å) after each atom.
Space group Cmmm (No. 65)
Unique sites:
Sr (0.0000, 0.0000, 0.0000)  2 Ni 2.76, 2 Sr 2.86, 8 Si 3.04
Si (0.2500, 0.2500, 0.5000)  4 Si 2.76-2.86, 4 Sr 3.04, 4 Ni 3.04
Ni (0.0000, 0.5000, 0.0000)  2 Sr 2.76, 2 Ni 2.86, 8 Si 3.04

Entry 4:
A plane-wave DFT calculation with PBE was carried out for crystalline KMnInTe3 at its relaxed geometry.

Calculated values
Total magnetic moment ... 7.19 μB per cell
Energy relative to the elements, uncorrected ... -2.46 eV per formula unit
E_tot ... -49.78 eV for the cell shown

a = 9.2471 Å, b = 4.1103 Å, c = 10.8090 Å
α = 90.00°, β = 107.79°, γ = 90.00°
With the nearest neighbours (Å) after each atom.
Space group P2_1/m (No. 11)
Unique sites:
K (0.2153, 0.2500, 0.2606)  7 Te 3.61-3.98, 1 In 3.72
Mn (0.3503, 0.7500, 0.8444)  6 Te 2.72-2.84
In (0.1215, 0.2500, 0.5721)  3 Te 2.89-2.97, 2 In 3.09
Te (0.1380, 0.2500, 0.8433)  2 Mn 2.84, 1 In 2.89
Te (0.3587, 0.7500, 0.5906)  1 Mn 2.77, 2 In 2.97
Te (0.4344, 0.7500, 0.1088)  3 Mn 2.72-2.80